TlCdTe2: relaxed, GGA-PBEsol.

For the volume, the calculation gives 27.856 Å³ per atom. Its density of states at the Fermi level is 0.5809 states/eV/atom. The value obtained for the formation energy from raw total energies is 0.05 eV per atom.

The structure belongs to space group P4/mmm (No. 123); the cell edges are 4.8140, 4.8140 and 4.8081 Å and the angles 90.00°, 90.00° and 90.00°. Symmetry generates all atoms from Tl at (0.0000, 0.0000, 0.0000), Cd at (0.5000, 0.5000, 0.0000) and Te at (0.0000, 0.5000, 0.5000).

TlCdTe3: relaxed, GGA-PBEsol.

For the volume, the calculation gives 34.215 Å³ per atom. Its density of states at the Fermi level is 1.0296 states/eV/atom. The value obtained for the formation energy from raw total energies is 0.26 eV per atom.

The structure belongs to space group Pm-3m (No. 221); the cell edges are 5.5513, 5.5513 and 5.5513 Å and the angles 90.00°, 90.00° and 90.00°. Symmetry generates all atoms from Tl at (0.0000, 0.0000, 0.0000), Cd at (0.5000, 0.5000, 0.5000) and Te at (0.0000, 0.5000, 0.5000).

TlCd2Te: relaxed, GGA-PBEsol.

For the volume, the calculation gives 26.352 Å³ per atom. Its density of states at the Fermi level is 0.3573 states/eV/atom. The value obtained for the formation energy from raw total energies is 0.05 eV per atom.

The structure belongs to space group C2/m (No. 12); the cell edges are 6.6178, 11.4892 and 3.0067 Å and the angles 90.00°, 112.76° and 90.00°. Symmetry generates all atoms from Tl at (0.0000, 0.0000, 0.0000), Cd at (0.2500, 0.2500, 0.0000) and Te at (0.0000, 0.5000, 0.0000).

TlCd2Te: relaxed, GGA-PBEsol.

For the volume, the calculation gives 26.373 Å³ per atom. Its density of states at the Fermi level is 0.2253 states/eV/atom. The value obtained for the formation energy from raw total energies is -0.03 eV per atom.

The structure belongs to space group Imm2 (No. 44); the cell edges are 4.0726, 4.3986 and 11.7780 Å and the angles 90.00°, 90.00° and 90.00°. Symmetry generates all atoms from Tl at (0.0000, 0.0000, 0.0000), Cd at (0.0000, 0.0000, 0.5414), Cd at (0.0000, 0.5000, 0.8029) and Te at (0.0000, 0.5000, 0.2443).

Tl4CdTe: relaxed, GGA-PBEsol.

For the volume, the calculation gives 29.928 Å³ per atom. Its density of states at the Fermi level is 0.6623 states/eV/atom. The value obtained for the formation energy from raw total energies is 0.13 eV per atom.

The structure belongs to space group F-43m (No. 216); the cell edges are 8.9557, 8.9557 and 8.9557 Å and the angles 90.00°, 90.00° and 90.00°. Symmetry generates all atoms from Tl at (0.1247, 0.1247, 0.1247), Cd at (0.0000, 0.0000, 0.5000) and Te at (0.2500, 0.2500, 0.7500).

CdTeW: relaxed, GGA-PBEsol.

For the volume, the calculation gives 19.750 Å³ per atom. Its density of states at the Fermi level is 0.8324 states/eV/atom. The value obtained for the formation energy from raw total energies is 0.78 eV per atom.

The structure belongs to space group P-6m2 (No. 187); the cell edges are 4.8808, 4.8808 and 2.8720 Å and the angles 90.00°, 90.00° and 120.00°. Symmetry generates all atoms from Cd at (0.0000, 0.0000, 0.0000), Te at (0.3333, 0.6667, 0.5000) and W at (0.6667, 0.3333, 0.5000).

CdTe2W: relaxed, GGA-PBEsol.

For the volume, the calculation gives 23.983 Å³ per atom. Its density of states at the Fermi level is 0.3896 states/eV/atom. The value obtained for the formation energy from raw total energies is 0.22 eV per atom.

The structure belongs to space group P4/mmm (No. 123); the cell edges are 3.2598, 3.2598 and 9.0280 Å and the angles 90.00°, 90.00° and 90.00°. Symmetry generates all atoms from Cd at (0.0000, 0.0000, 0.0000), Te at (0.5000, 0.5000, 0.3162) and W at (0.0000, 0.0000, 0.5000).

CdTe2W: relaxed, GGA-PBEsol.

For the volume, the calculation gives 24.638 Å³ per atom. Its density of states at the Fermi level is 0.3165 states/eV/atom. The value obtained for the formation energy from raw total energies is 0.18 eV per atom.

The structure belongs to space group C2/m (No. 12); the cell edges are 5.9008, 3.3853 and 9.9250 Å and the angles 90.00°, 96.18° and 90.00°. Symmetry generates all atoms from Cd at (0.0000, 0.0000, 0.0000), Te at (0.2019, 0.0000, 0.6916) and W at (0.0000, 0.5000, 0.5000).

CdTe2W: relaxed, GGA-PBEsol.

For the volume, the calculation gives 21.455 Å³ per atom. Its density of states at the Fermi level is 1.0271 states/eV/atom. The value obtained for the formation energy from raw total energies is 0.95 eV per atom.

The structure belongs to space group Pmmm (No. 47); the cell edges are 3.4929, 4.6668 and 5.2648 Å and the angles 90.00°, 90.00° and 90.00°. Symmetry generates all atoms from Cd at (0.0000, 0.0000, 0.0000), Te at (0.0000, 0.5000, 0.5000), Te at (0.5000, 0.5000, 0.0000) and W at (0.5000, 0.0000, 0.5000).

CdTeW: relaxed, GGA-PBEsol.

For the volume, the calculation gives 22.107 Å³ per atom. Its density of states at the Fermi level is 0.7624 states/eV/atom. The value obtained for the formation energy from raw total energies is 0.92 eV per atom.

The structure belongs to space group F-43m (No. 216); the cell edges are 6.4254, 6.4254 and 6.4254 Å and the angles 90.00°, 90.00° and 90.00°. Symmetry generates all atoms from Cd at (0.0000, 0.0000, 0.0000), Te at (0.0000, 0.0000, 0.5000) and W at (0.2500, 0.2500, 0.7500).

CdTe2W: relaxed, GGA-PBEsol.

For the volume, the calculation gives 23.453 Å³ per atom. Its density of states at the Fermi level is 0.7213 states/eV/atom. The value obtained for the formation energy from raw total energies is 0.36 eV per atom.

The structure belongs to space group P4mm (No. 99); the cell edges are 3.1833, 3.1833 and 9.2578 Å and the angles 90.00°, 90.00° and 90.00°. Symmetry generates all atoms from Cd at (0.0000, 0.0000, 0.0000), Te at (0.0000, 0.0000, 0.6278), Te at (0.5000, 0.5000, 0.2908) and W at (0.5000, 0.5000, 0.7950).

YCdTe2: relaxed, GGA-PBEsol.

For the volume, the calculation gives 26.992 Å³ per atom. Its density of states at the Fermi level is 0.2093 states/eV/atom. The value obtained for the formation energy from raw total energies is -0.95 eV per atom.

The structure belongs to space group Amm2 (No. 38); the cell edges are 4.3838, 4.0973 and 12.0218 Å and the angles 90.00°, 90.00° and 90.00°. Symmetry generates all atoms from Y at (0.0000, 0.0000, 0.0000), Cd at (0.5000, 0.0000, 0.1976), Te at (0.0000, 0.0000, 0.7011) and Te at (0.5000, 0.0000, 0.4343).

YCd2Te: relaxed, GGA-PBEsol.

For the volume, the calculation gives 26.053 Å³ per atom. Its density of states at the Fermi level is 0.5569 states/eV/atom. The value obtained for the formation energy from raw total energies is -0.41 eV per atom.

The structure belongs to space group Cmmm (No. 65); the cell edges are 5.9765, 6.0680 and 5.7471 Å and the angles 90.00°, 90.00° and 90.00°. Symmetry generates all atoms from Y at (0.0000, 0.0000, 0.0000), Cd at (0.0000, 0.2482, 0.5000) and Te at (0.0000, 0.5000, 0.0000).

YCd3Te: relaxed, GGA-PBEsol.

For the volume, the calculation gives 32.115 Å³ per atom. Its density of states at the Fermi level is 0.9470 states/eV/atom. The value obtained for the formation energy from raw total energies is 0.56 eV per atom.

The structure belongs to space group Pm-3m (No. 221); the cell edges are 5.4353, 5.4353 and 5.4353 Å and the angles 90.00°, 90.00° and 90.00°. Symmetry generates all atoms from Y at (0.0000, 0.0000, 0.0000), Cd at (0.0000, 0.5000, 0.5000) and Te at (0.5000, 0.5000, 0.5000).

YCdTe2: relaxed, GGA-PBEsol.

For the volume, the calculation gives 26.662 Å³ per atom. Its density of states at the Fermi level is 0.5199 states/eV/atom. The value obtained for the formation energy from raw total energies is -0.77 eV per atom.

The structure belongs to space group P2/m (No. 10); the cell edges are 3.8368, 3.8319 and 7.3120 Å and the angles 90.00°, 97.23° and 90.00°. Symmetry generates all atoms from Y at (0.0000, 0.0000, 0.0000), Cd at (0.0000, 0.0000, 0.5000) and Te at (0.4233, 0.5000, 0.7630).

YCdTe2: relaxed, GGA-PBEsol.

For the volume, the calculation gives 29.035 Å³ per atom. Its density of states at the Fermi level is 0.4977 states/eV/atom. The value obtained for the formation energy from raw total energies is -0.84 eV per atom.

The structure belongs to space group R-3m (No. 166, hexagonal axes); the cell edges are 4.1977, 4.1977 and 22.8324 Å and the angles 90.00°, 90.00° and 120.00°. Symmetry generates all atoms from Y at (0.0000, 0.0000, 0.0000), Cd at (0.0000, 0.0000, 0.5000) and Te at (0.0000, 0.0000, 0.2514).

YCd2Te: relaxed, GGA-PBEsol.

For the volume, the calculation gives 25.010 Å³ per atom. Its density of states at the Fermi level is 0.4297 states/eV/atom. The value obtained for the formation energy from raw total energies is -0.48 eV per atom.

The structure belongs to space group Cm (No. 8); the cell edges are 10.4642, 4.0195 and 5.0542 Å and the angles 90.00°, 109.74° and 90.00°. Symmetry generates all atoms from Y at (0.0000, 0.0000, 0.0000), Cd at (0.0127, 0.5000, 0.5060), Cd at (0.2651, 0.5000, 0.3541) and Te at (0.2652, 0.0000, 0.8813).

YCdTe2: relaxed, GGA-PBEsol.

For the volume, the calculation gives 28.558 Å³ per atom. Its density of states at the Fermi level is 0.4048 states/eV/atom. The value obtained for the formation energy from raw total energies is -0.85 eV per atom.

The structure belongs to space group P4mm (No. 99); the cell edges are 4.2868, 4.2868 and 6.2163 Å and the angles 90.00°, 90.00° and 90.00°. Symmetry generates all atoms from Y at (0.0000, 0.0000, 0.0000), Cd at (0.5000, 0.5000, 0.4938), Te at (0.0000, 0.0000, 0.4992) and Te at (0.5000, 0.5000, 0.9956).

Y2CdTe: relaxed, GGA-PBEsol.

For the volume, the calculation gives 27.902 Å³ per atom. Its density of states at the Fermi level is 0.5800 states/eV/atom. The value obtained for the formation energy from raw total energies is -0.79 eV per atom.

The structure belongs to space group R-3m (No. 166, hexagonal axes); the cell edges are 4.0840, 4.0840 and 23.1803 Å and the angles 90.00°, 90.00° and 120.00°. Symmetry generates all atoms from Y at (0.0000, 0.0000, 0.2483), Cd at (0.0000, 0.0000, 0.0000) and Te at (0.0000, 0.0000, 0.5000).

ZnCdTe2: relaxed, GGA-PBEsol.

For the volume, the calculation gives 26.563 Å³ per atom. Its density of states at the Fermi level is 0.5286 states/eV/atom. The value obtained for the formation energy from raw total energies is 0.05 eV per atom.

The structure belongs to space group Cmmm (No. 65); the cell edges are 4.0553, 6.6808 and 7.8435 Å and the angles 90.00°, 90.00° and 90.00°. Symmetry generates all atoms from Zn at (0.0000, 0.0000, 0.0000), Cd at (0.0000, 0.0000, 0.5000) and Te at (0.0000, 0.5000, 0.2348).